Record 1
The following is a PBE calculation of crystalline DyHo2Th3 at its relaxed geometry, from the Alexandria database.

As for the energy above the most stable polymorph in this dataset: 0.92 eV per formula unit. The formation energy is 0.183 eV per atom. As for the raw total energy: -5.8195 eV per atom. The size of the total moment is 0.0 μB/f.u. The calculation puts the density of states at the Fermi level at 1.219 states/eV/atom.

a = 6.7079 Å, b = 11.2780 Å, c = 7.6019 Å
α = 137.88°, β = 90.00°, γ = 90.00°
Last column: nearest neighbours and their distance in Å.
Sites, in units of the cell vectors:
Dy 0.2500 0.2299 0.0000  6 Ho 3.40-3.79, 6 Th 3.48-3.53
Dy 0.7500 0.7701 0.0000  6 Ho 3.40-3.79, 6 Th 3.48-3.53
Ho 0.7500 0.4369 0.3332  3 Ho 3.40-3.79, 3 Dy 3.40-3.79, 6 Th 3.48-3.52
Ho 0.2500 0.5631 0.6668  3 Ho 3.40-3.79, 3 Dy 3.40-3.79, 6 Th 3.48-3.52
Ho 0.2500 0.8963 0.3332  3 Ho 3.40-3.79, 3 Dy 3.40-3.79, 6 Th 3.48-3.52
Ho 0.7500 0.1037 0.6668  3 Ho 3.40-3.79, 3 Dy 3.40-3.79, 6 Th 3.48-3.52
Th 0.0000 0.1668 0.3336  4 Th 3.35-3.40, 4 Ho 3.48-3.52, 2 Dy 3.53
Th 0.5000 0.8332 0.6664  4 Th 3.35-3.40, 4 Ho 3.48-3.52, 2 Dy 3.53
Th 0.0000 0.5000 0.0000  4 Th 3.35-3.40, 2 Dy 3.48, 4 Ho 3.52
Th 0.5000 0.5000 0.0000  4 Th 3.35-3.40, 2 Dy 3.48, 4 Ho 3.52
Th 0.0000 0.8332 0.6664  4 Th 3.35-3.40, 4 Ho 3.48-3.52, 2 Dy 3.53
Th 0.5000 0.1668 0.3336  4 Th 3.35-3.40, 4 Ho 3.48-3.52, 2 Dy 3.53

Record 2
The following is a PBE calculation of crystalline DyHo2Th4 at its relaxed geometry, from the Alexandria database.

As for the energy above the most stable polymorph in this dataset: 0.00 eV per formula unit. The formation energy is 0.325 eV per atom. As for the raw total energy: -5.8800 eV per atom. The size of the total moment is 0.0 μB/f.u. The calculation puts the density of states at the Fermi level at 1.628 states/eV/atom.

a = 5.5220 Å, b = 9.2953 Å, c = 9.2953 Å
α = 90.00°, β = 90.00°, γ = 90.00°
Last column: nearest neighbours and their distance in Å.
Sites, in units of the cell vectors:
Ho 0.0000 0.1816 0.8184  6 Th 3.35-3.37, 2 Dy 3.65
Ho 0.0000 0.8184 0.1816  6 Th 3.35-3.37, 2 Dy 3.65
Ho 0.5000 0.6816 0.6816  6 Th 3.35-3.37, 2 Dy 3.65
Ho 0.5000 0.3184 0.3184  6 Th 3.35-3.37, 2 Dy 3.65
Th 0.0000 0.1237 0.3765  6 Th 3.25-3.59, 3 Ho 3.35-3.37
Th 0.0000 0.8763 0.6235  6 Th 3.25-3.59, 3 Ho 3.35-3.37
Th 0.5000 0.1235 0.6237  6 Th 3.25-3.59, 3 Ho 3.35-3.37
Th 0.5000 0.8765 0.3763  6 Th 3.25-3.59, 3 Ho 3.35-3.37
Th 0.5000 0.3763 0.8765  6 Th 3.25-3.59, 3 Ho 3.35-3.37
Th 0.5000 0.6237 0.1235  6 Th 3.25-3.59, 3 Ho 3.35-3.37
Th 0.0000 0.3765 0.1237  6 Th 3.25-3.59, 3 Ho 3.35-3.37
Th 0.0000 0.6235 0.8763  6 Th 3.25-3.59, 3 Ho 3.35-3.37
Dy 0.5000 0.0000 0.0000  4 Ho 3.65, 4 Th 3.68
Dy 0.0000 0.5000 0.5000  4 Ho 3.65, 4 Th 3.68

Record 3
The following is a PBE calculation of crystalline DyHo8Th6 at its relaxed geometry, from the Alexandria database.

The formation energy is 0.154 eV per atom. As for the raw total energy: -5.5622 eV per atom. The size of the total moment is 0.0 μB/f.u. The calculation puts the density of states at the Fermi level at 1.787 states/eV/atom.

a = 8.7260 Å, b = 8.7260 Å, c = 8.7260 Å
α = 60.79°, β = 60.79°, γ = 60.79°
Last column: nearest neighbours and their distance in Å.
Sites, in units of the cell vectors:
Dy 0.0000 0.0000 0.0000  6 Th 3.46, 6 Ho 3.49
Ho 0.1202 0.6754 0.8032  5 Ho 3.36-3.50, 3 Th 3.41-3.55, 1 Dy 3.49
Ho 0.1968 0.8798 0.3246  5 Ho 3.36-3.50, 3 Th 3.41-3.55, 1 Dy 3.49
Ho 0.3246 0.1968 0.8798  5 Ho 3.36-3.50, 3 Th 3.41-3.55, 1 Dy 3.49
Ho 0.5799 0.5799 0.5799  4 Ho 3.36-3.39, 6 Th 3.42-3.76
Ho 0.4201 0.4201 0.4201  4 Ho 3.36-3.39, 6 Th 3.42-3.76
Ho 0.6754 0.8032 0.1202  5 Ho 3.36-3.50, 3 Th 3.41-3.55, 1 Dy 3.49
Ho 0.8032 0.1202 0.6754  5 Ho 3.36-3.50, 3 Th 3.41-3.55, 1 Dy 3.49
Ho 0.8798 0.3246 0.1968  5 Ho 3.36-3.50, 3 Th 3.41-3.55, 1 Dy 3.49
Th 0.9266 0.4652 0.7356  5 Ho 3.41-3.76, 1 Dy 3.46, 5 Th 3.48-3.80
Th 0.2644 0.0734 0.5348  5 Ho 3.41-3.76, 1 Dy 3.46, 5 Th 3.48-3.80
Th 0.5348 0.2644 0.0734  5 Ho 3.41-3.76, 1 Dy 3.46, 5 Th 3.48-3.80
Th 0.4652 0.7356 0.9266  5 Ho 3.41-3.76, 1 Dy 3.46, 5 Th 3.48-3.80
Th 0.7356 0.9266 0.4652  5 Ho 3.41-3.76, 1 Dy 3.46, 5 Th 3.48-3.80
Th 0.0734 0.5348 0.2644  5 Ho 3.41-3.76, 1 Dy 3.46, 5 Th 3.48-3.80

Record 4
The following is a PBE calculation of crystalline Dy7Ho3Th2 at its relaxed geometry, from the Alexandria database.

The formation energy is 0.023 eV per atom. As for the raw total energy: -5.0426 eV per atom. The size of the total moment is 0.0 μB/f.u. The calculation puts the density of states at the Fermi level at 1.347 states/eV/atom.

a = 3.5539 Å, b = 6.1182 Å, c = 17.7058 Å
α = 99.86°, β = 95.76°, γ = 90.00°
Last column: nearest neighbours and their distance in Å.
Sites, in units of the cell vectors:
Dy 0.2494 0.2566 0.4985  6 Dy 3.46-3.62, 3 Th 3.52-3.56, 3 Ho 3.54-3.58
Dy 0.7506 0.7434 0.5015  6 Dy 3.46-3.62, 3 Th 3.52-3.56, 3 Ho 3.54-3.58
Dy 0.4157 0.0818 0.8328  8 Dy 3.50-3.57, 1 Th 3.51, 3 Ho 3.53-3.55
Dy 0.0000 0.0000 0.0000  8 Dy 3.53-3.55, 4 Ho 3.54
Dy 0.5843 0.9182 0.1672  8 Dy 3.50-3.57, 1 Th 3.51, 3 Ho 3.53-3.55
Dy 0.0841 0.4115 0.1674  7 Dy 3.50-3.57, 2 Th 3.51, 3 Ho 3.55-3.56
Dy 0.9159 0.5885 0.8326  7 Dy 3.50-3.57, 2 Th 3.51, 3 Ho 3.55-3.56
Ho 0.5000 0.5000 0.0000  10 Dy 3.54-3.56, 2 Ho 3.55
Ho 0.8331 0.1657 0.6667  4 Th 3.52-3.56, 6 Dy 3.53-3.58, 2 Ho 3.55
Ho 0.1669 0.8343 0.3333  4 Th 3.52-3.56, 6 Dy 3.53-3.58, 2 Ho 3.55
Th 0.3336 0.6696 0.6676  6 Dy 3.51-3.56, 4 Ho 3.52-3.56, 2 Th 3.55
Th 0.6664 0.3304 0.3324  6 Dy 3.51-3.56, 4 Ho 3.52-3.56, 2 Th 3.55

Record 5
The following is a PBE calculation of crystalline Dy2Ho12Th5 at its relaxed geometry, from the Alexandria database.

As for the energy above the most stable polymorph in this dataset: 0.00 eV per formula unit. The formation energy is 0.154 eV per atom. As for the raw total energy: -5.1738 eV per atom. The size of the total moment is 0.0 μB/f.u. The calculation puts the density of states at the Fermi level at 1.518 states/eV/atom.

a = 10.3122 Å, b = 9.1946 Å, c = 7.8307 Å
α = 88.94°, β = 90.00°, γ = 124.11°
Last column: nearest neighbours and their distance in Å.
Sites, in units of the cell vectors:
Dy 0.7392 0.0000 0.0000  8 Ho 3.38-3.52, 2 Th 3.46
Dy 0.2608 0.0000 0.0000  8 Ho 3.38-3.52, 2 Th 3.46
Ho 0.8607 0.7214 0.1107  2 Th 3.29-3.52, 2 Dy 3.52, 4 Ho 3.56-3.63
Ho 0.0429 0.6145 0.7968  1 Dy 3.38, 5 Ho 3.39-3.61, 4 Th 3.48-3.68
Ho 0.5716 0.6145 0.7968  1 Dy 3.38, 5 Ho 3.39-3.61, 4 Th 3.48-3.68
Ho 0.1676 0.7826 0.3914  4 Th 3.38-3.55, 6 Ho 3.39-3.76, 1 Dy 3.45
Ho 0.6150 0.7826 0.3914  4 Th 3.38-3.55, 6 Ho 3.39-3.76, 1 Dy 3.45
Ho 0.4488 0.8975 0.7062  3 Th 3.32-3.57, 7 Ho 3.43-3.56, 2 Dy 3.47
Ho 0.5512 0.1025 0.2938  3 Th 3.32-3.57, 7 Ho 3.43-3.56, 2 Dy 3.47
Ho 0.8324 0.2174 0.6086  4 Th 3.38-3.55, 6 Ho 3.39-3.76, 1 Dy 3.45
Ho 0.3850 0.2174 0.6086  4 Th 3.38-3.55, 6 Ho 3.39-3.76, 1 Dy 3.45
Ho 0.9571 0.3855 0.2032  1 Dy 3.38, 5 Ho 3.39-3.61, 4 Th 3.48-3.68
Ho 0.4284 0.3855 0.2032  1 Dy 3.38, 5 Ho 3.39-3.61, 4 Th 3.48-3.68
Ho 0.1393 0.2786 0.8893  2 Th 3.29-3.52, 2 Dy 3.52, 4 Ho 3.56-3.63
Th 0.2398 0.4796 0.5124  10 Ho 3.29-3.68, 2 Th 3.65-3.69
Th 0.3454 0.6907 0.0836  9 Ho 3.32-3.59, 2 Dy 3.46, 1 Th 3.69
Th 0.0000 0.0000 0.5000  6 Ho 3.41-3.75, 2 Th 3.65
Th 0.6546 0.3093 0.9164  9 Ho 3.32-3.59, 2 Dy 3.46, 1 Th 3.69
Th 0.7602 0.5204 0.4876  10 Ho 3.29-3.68, 2 Th 3.65-3.69

Record 6
The following is a PBE calculation of crystalline Dy6HoTh4 at its relaxed geometry, from the Alexandria database.

As for the energy above the most stable polymorph in this dataset: 3.69 eV per formula unit. The formation energy is 0.499 eV per atom. As for the raw total energy: -5.1258 eV per atom. The size of the total moment is 0.0 μB/f.u. The calculation puts the density of states at the Fermi level at 1.322 states/eV/atom.

a = 7.8155 Å, b = 7.8155 Å, c = 8.5272 Å
α = 117.28°, β = 117.28°, γ = 90.00°
Last column: nearest neighbours and their distance in Å.
Sites, in units of the cell vectors:
Dy 0.9371 0.4298 0.3668  4 Th 3.30-3.60, 2 Dy 3.65, 1 Ho 3.68
Dy 0.4298 0.9371 0.3668  4 Th 3.30-3.60, 2 Dy 3.65, 1 Ho 3.68
Dy 0.5702 0.5702 0.6332  4 Th 3.30-3.60, 2 Dy 3.65, 1 Ho 3.68
Dy 0.0000 0.5000 0.0000  4 Th 3.06
Dy 0.0629 0.0629 0.6332  4 Th 3.30-3.60, 2 Dy 3.65, 1 Ho 3.68
Dy 0.5000 0.0000 0.0000  4 Th 3.06
Ho 0.5000 0.5000 0.0000  8 Dy 3.68-3.91, 4 Th 3.78
Th 0.0957 0.7577 0.8535  3 Dy 3.06-3.30, 2 Th 3.26
Th 0.9043 0.9043 0.1465  3 Dy 3.06-3.30, 2 Th 3.26
Th 0.7577 0.0957 0.8535  3 Dy 3.06-3.30, 2 Th 3.26
Th 0.2423 0.2423 0.1465  3 Dy 3.06-3.30, 2 Th 3.26